# 1
# YZrSb2 PBE optimized geometry
# Raw formation energy = -0.6708 eV per atom
# ρ = 6.96 g/cm3
# Energy = -0.2383 Ha/atom
data_YZrSb2
_chemical_formula_sum 'Y1 Zr1 Sb2'
_symmetry_space_group_name_H-M 'P 1 2/m 1'
_symmetry_Int_Tables_number 10
_cell_length_a 3.562
_cell_length_b 3.911
_cell_length_c 7.381
_cell_angle_alpha 90.00
_cell_angle_beta 100.75
_cell_angle_gamma 90.00
loop_
_symmetry_equiv_pos_as_xyz
'x,y,z'
'-x,-y,-z'
'-x,y,-z'
'x,-y,z'
loop_
_atom_site_label
_atom_site_fract_x
_atom_site_fract_y
_atom_site_fract_z
_atom_site_occupancy
Y1 0.000 0.000 0.000 1
Zr1 0.000 0.000 0.500 1
Sb1 0.486 0.500 0.270 1

---

# 2
# Y2Zr2Sb PBE optimized geometry
# Raw formation energy = -0.2177 eV per atom
# ρ = 5.94 g/cm3
# Energy = -0.2590 Ha/atom
data_Y2Zr2Sb
_chemical_formula_sum 'Y4 Zr4 Sb2'
_symmetry_space_group_name_H-M 'P 4/m b m'
_symmetry_Int_Tables_number 127
_symmetry_space_group_name_Hall '-P 4 2ab'
_cell_length_a 7.613
_cell_length_b 7.613
_cell_length_c 4.647
_cell_angle_alpha 90.00
_cell_angle_beta 90.00
_cell_angle_gamma 90.00
loop_
_atom_site_label
_atom_site_fract_x
_atom_site_fract_y
_atom_site_fract_z
_atom_site_occupancy
Y1 0.163 0.337 0.000 1
Zr1 0.139 0.639 0.500 1
Sb1 0.000 0.000 0.500 1

---

# 3
# YZr2Sb2 PBE optimized geometry
# Raw formation energy = -0.7273 eV per atom
# Offset from the most stable computed form = 0.0 meV/atom
# ρ = 7.01 g/cm3
# Energy = -0.2605 Ha/atom
data_YZr2Sb2
_chemical_formula_sum 'Y2 Zr4 Sb4'
_symmetry_space_group_name_H-M 'P 4/m b m'
_symmetry_Int_Tables_number 127
_symmetry_space_group_name_Hall '-P 4 2ab'
_cell_length_a 8.004
_cell_length_b 8.004
_cell_length_c 3.809
_cell_angle_alpha 90.00
_cell_angle_beta 90.00
_cell_angle_gamma 90.00
loop_
_atom_site_label
_atom_site_fract_x
_atom_site_fract_y
_atom_site_fract_z
_atom_site_occupancy
Y1 0.000 0.000 0.000 1
Zr1 0.150 0.350 0.500 1
Sb1 0.144 0.644 0.000 1